This record from Alexandria via LeMat-Bulk describes an optimized crystal structure of NbSnAsN2. The functional is GGA-PBE.

Summary:
* formation energy (no corrections): 295 meV/atom

a b c (Å): 4.0582 4.0582 5.4804
angles (deg): 90.00 90.00 90.00
Last column: nearest neighbours and their distance in Å.
Space group P4/mmm (No. 123)
One atom of each set of equivalent atoms:
1 Nb 0.0000 0.0000 0.0000 [1 per cell]  4 N 2.03
2 Sn 0.5000 0.5000 0.5000 [1 per cell]  4 As 2.87
3 As 0.0000 0.0000 0.5000 [1 per cell]  2 Nb 2.74, 4 Sn 2.87
4 N 0.0000 0.5000 0.0000 [2 per cell]  2 Nb 2.03


This record from Alexandria via LeMat-Bulk describes an optimized crystal structure of Ta2NbAsN. The functional is GGA-PBE.

Summary:
* formation energy (no corrections): 1273 meV/atom

a b c (Å): 5.0404 5.0404 3.8882
angles (deg): 90.00 90.00 90.00
Last column: nearest neighbours and their distance in Å.
Space group P4/mmm (No. 123)
One atom of each set of equivalent atoms:
1 Ta 0.0000 0.5000 0.0000 [2 per cell]  2 Nb 2.52
2 Nb 0.0000 0.0000 0.0000 [1 per cell]  2 N 1.94
3 As 0.5000 0.5000 0.5000 [1 per cell]  8 Ta 3.18, 4 N 3.56
4 N 0.0000 0.0000 0.5000 [1 per cell]  2 Nb 1.94


This record from Alexandria via LeMat-Bulk describes an optimized crystal structure of Tb2NbAsN5. The functional is GGA-PBE.

Summary:
* formation energy (no corrections): -823 meV/atom

a b c (Å): 3.2473 14.3032 9.9106
angles (deg): 90.00 90.00 90.00
Last column: nearest neighbours and their distance in Å.
Space group Cmc2_1 (No. 36)
One atom of each set of equivalent atoms:
1 Tb 0.0000 0.1132 0.0000 [4 per cell]  8 N 2.49-2.62
2 Tb 0.0000 0.1318 0.6120 [4 per cell]  6 N 2.41-2.60
3 Nb 0.0000 0.2216 0.3310 [4 per cell]  1 N 1.89
4 As 0.0000 0.4519 0.7618 [4 per cell]  4 N 1.80-1.94
5 N 0.0000 0.0426 0.3621 [4 per cell]  2 As 1.90
6 N 0.0000 0.2881 0.9740 [4 per cell]  2 Nb 2.16, 2 Tb 2.41
7 N 0.0000 0.3263 0.6886 [4 per cell]  1 As 1.94
8 N 0.0000 0.3535 0.3162 [4 per cell]  1 Nb 1.89
9 N 0.0000 0.4951 0.0975 [4 per cell]  1 As 1.80


This record from Alexandria via LeMat-Bulk describes an optimized crystal structure of Nb2AsWN. The functional is GGA-PBE.

Summary:
* formation energy (no corrections): 2170 meV/atom

a b c (Å): 4.7756 4.7756 4.5382
angles (deg): 90.00 90.00 90.00
Last column: nearest neighbours and their distance in Å.
Space group P4/mmm (No. 123)
One atom of each set of equivalent atoms:
1 Nb 0.0000 0.5000 0.0000 [2 per cell]  2 As 2.39
2 As 0.0000 0.0000 0.0000 [1 per cell]  2 W 2.27, 4 Nb 2.39
3 W 0.0000 0.0000 0.5000 [1 per cell]  2 As 2.27
4 N 0.5000 0.5000 0.5000 [1 per cell]  8 Nb 3.29, 4 W 3.38


This record from Alexandria via LeMat-Bulk describes an optimized crystal structure of ZrNbAsN2. The functional is GGA-PBE.

Summary:
* formation energy (no corrections): 669 meV/atom

a b c (Å): 4.0689 4.0689 5.3729
angles (deg): 90.00 90.00 90.00
Last column: nearest neighbours and their distance in Å.
Space group P4/mmm (No. 123)
One atom of each set of equivalent atoms:
1 Zr 0.0000 0.0000 0.0000 [1 per cell]  4 N 2.03
2 Nb 0.5000 0.5000 0.5000 [1 per cell]  4 As 2.88
3 As 0.0000 0.0000 0.5000 [1 per cell]  2 Zr 2.69, 4 Nb 2.88
4 N 0.0000 0.5000 0.0000 [2 per cell]  2 Zr 2.03


This record from Alexandria via LeMat-Bulk describes an optimized crystal structure of Nd12As3N5. The functional is GGA-PBE.

Summary:
* formation energy (no corrections): -999 meV/atom

a b c (Å): 15.8614 15.8614 15.8614
angles (deg): 90.00 90.00 90.00
Last column: nearest neighbours and their distance in Å.
Space group Ia-3d (No. 230)
One atom of each set of equivalent atoms:
1 Nd 0.0335 0.0538 0.6495 [96 per cell]  2 N 2.32-2.58
2 As 0.0000 0.2500 0.1250 [24 per cell]  8 Nd 3.10-3.18
3 N 0.0000 0.0000 0.0000 [16 per cell]  6 Nd 2.58
4 N 0.0000 0.2500 0.3750 [24 per cell]  4 Nd 2.32